A | Computed, not measured: an optimized crystal structure of Tb3Tm3Th at the GGA-PBE level of DFT.

The symmetry is No. 176. The total moment is 0.00 Bohr magnetons per cell.

Lattice parameters (Å, degrees): 9.509 9.509 5.646 90.00 90.00 120.00
Fractional coordinates of all 14 atoms:
Tb 0.054 0.243 0.250
Tb 0.189 0.946 0.250
Tb 0.243 0.189 0.750
Tb 0.757 0.811 0.250
Tb 0.811 0.054 0.750
Tb 0.946 0.757 0.750
Tm 0.095 0.480 0.750
Tm 0.385 0.905 0.750
Tm 0.480 0.385 0.250
Tm 0.520 0.615 0.750
Tm 0.615 0.095 0.250
Tm 0.905 0.520 0.250
Th 0.333 0.667 0.250
Th 0.667 0.333 0.750


B | Computed, not measured: an optimized crystal structure of Tb3Tm3Th at the GGA-PBE level of DFT.

The symmetry is No. 12. The total moment is 0.00 Bohr magnetons per cell.

Lattice parameters (Å, degrees): 6.541 6.541 10.516 90.79 90.79 95.17
Fractional coordinates of all 14 atoms:
Tb 0.029 0.029 0.254
Tb 0.127 0.484 0.752
Tb 0.484 0.127 0.752
Tb 0.516 0.873 0.248
Tb 0.873 0.516 0.248
Tb 0.971 0.971 0.746
Tm 0.183 0.817 0.000
Tm 0.191 0.809 0.500
Tm 0.323 0.323 0.438
Tm 0.677 0.677 0.562
Tm 0.809 0.191 0.500
Tm 0.817 0.183 0.000
Th 0.333 0.333 0.081
Th 0.667 0.667 0.919


Energy comparison, zero being the most stable, in kJ/mol of atoms: A 0.0; B 13.5.


A | Computed, not measured: an optimized crystal structure of Tb4TmTh3 at the GGA-PBE level of DFT.

The symmetry is No. 59. The total moment is 0.00 Bohr magnetons per cell.

Lattice parameters (Å, degrees): 5.029 10.077 10.099 90.00 90.00 90.00
Fractional coordinates of all 16 atoms:
Tb 0.250 0.000 0.129
Tb 0.250 0.250 0.869
Tb 0.250 0.500 0.129
Tb 0.250 0.750 0.873
Tb 0.750 0.000 0.871
Tb 0.750 0.250 0.127
Tb 0.750 0.500 0.871
Tb 0.750 0.750 0.131
Tm 0.250 0.250 0.378
Tm 0.750 0.750 0.622
Th 0.250 0.002 0.622
Th 0.250 0.498 0.622
Th 0.250 0.750 0.377
Th 0.750 0.250 0.623
Th 0.750 0.502 0.378
Th 0.750 0.998 0.378


B | Computed, not measured: an optimized crystal structure of Tb4TmTh3 at the GGA-PBE level of DFT.

The symmetry is No. 31. The total moment is 0.00 Bohr magnetons per cell.

Lattice parameters (Å, degrees): 11.571 7.169 6.230 90.00 90.00 90.00
Fractional coordinates of all 16 atoms:
Tb 0.000 0.128 0.000
Tb 0.000 0.866 0.497
Tb 0.249 0.130 0.657
Tb 0.251 0.870 0.157
Tb 0.500 0.134 0.997
Tb 0.500 0.872 0.500
Tb 0.749 0.870 0.157
Tb 0.751 0.130 0.657
Tm 0.000 0.377 0.487
Tm 0.500 0.623 0.987
Th 0.000 0.622 0.989
Th 0.249 0.614 0.669
Th 0.251 0.386 0.169
Th 0.500 0.378 0.489
Th 0.749 0.386 0.169
Th 0.751 0.614 0.669


Energy comparison, zero being the most stable, in kJ/mol of atoms: A 0.0; B 1.9.


A | Computed, not measured: an optimized crystal structure of Tb2Tm5Th at the GGA-PBE level of DFT.

The symmetry is No. 42. The total moment is 0.00 Bohr magnetons per cell.

Lattice parameters (Å, degrees): 8.375 7.149 6.672 74.50 55.35 50.15
Fractional coordinates of all 8 atoms:
Tb 0.249 0.751 0.249
Tb 0.751 0.249 0.751
Tm 0.252 0.252 0.248
Tm 0.334 0.836 0.666
Tm 0.335 0.335 0.665
Tm 0.752 0.752 0.748
Tm 0.836 0.334 0.164
Th 0.836 0.836 0.164


B | Computed, not measured: an optimized crystal structure of Tb2Tm5Th at the GGA-PBE level of DFT.

The symmetry is No. 55. The total moment is 0.00 Bohr magnetons per cell.

Lattice parameters (Å, degrees): 7.030 14.093 4.982 90.00 90.00 90.00
Fractional coordinates of all 16 atoms:
Tb 0.248 0.124 0.000
Tb 0.252 0.624 0.000
Tb 0.748 0.376 0.000
Tb 0.752 0.876 0.000
Tm 0.000 0.500 0.500
Tm 0.003 0.249 0.500
Tm 0.244 0.877 0.000
Tm 0.256 0.377 0.000
Tm 0.497 0.749 0.500
Tm 0.500 0.000 0.500
Tm 0.503 0.251 0.500
Tm 0.744 0.623 0.000
Tm 0.756 0.123 0.000
Tm 0.997 0.751 0.500
Th 0.000 0.000 0.500
Th 0.500 0.500 0.500


Energy comparison, zero being the most stable, in kJ/mol of atoms: A 0.0; B 1.4.